# 1
# BePdS, optimized geometry, DFT GGA-PBE
# Crystal system: triclinic
# Formation energy without anion corrections (eV per atom): -0.443
# Total moment (μB/f.u.): 0.00
data_BePdS
_chemical_formula_sum 'Be2 Pd2 S2'
_symmetry_space_group_name_H-M 'P 1'
_symmetry_Int_Tables_number 1
_cell_length_a 3.427
_cell_length_b 3.432
_cell_length_c 9.990
_cell_angle_alpha 82.58
_cell_angle_beta 82.46
_cell_angle_gamma 60.07
loop_
_symmetry_equiv_pos_as_xyz
'x,y,z'
loop_
_atom_site_label
_atom_site_type_symbol
_atom_site_fract_x
_atom_site_fract_y
_atom_site_fract_z
Be1 Be 0.000 0.000 0.000
Be2 Be 0.481 0.454 0.457
Pd1 Pd 0.547 0.042 0.823
Pd2 Pd 0.909 0.462 0.635
S1 S 0.321 0.323 0.046
S2 S 0.826 0.802 0.408

# 2
# Pa2GaW, optimized geometry, DFT GGA-PBE
# Crystal system: tetragonal
# Total moment (μB/f.u.): 0.00
# Energy relative to the elements (eV/atom): 0.083
data_Pa2GaW
_chemical_formula_sum 'Pa2 Ga1 W1'
_symmetry_space_group_name_H-M 'P 4/m m m'
_symmetry_Int_Tables_number 123
_symmetry_space_group_name_Hall '-P 4 2'
_cell_length_a 3.681
_cell_length_b 3.681
_cell_length_c 6.358
_cell_angle_alpha 90.00
_cell_angle_beta 90.00
_cell_angle_gamma 90.00
loop_
_atom_site_label
_atom_site_type_symbol
_atom_site_fract_x
_atom_site_fract_y
_atom_site_fract_z
Pa1 Pa 0.000 0.000 0.243
Ga1 Ga 0.500 0.500 0.000
W1 W 0.500 0.500 0.500

# 3
# PmNdEr, optimized geometry, DFT GGA-PBE
# Crystal system: monoclinic
# Total moment (μB/f.u.): 0.00
# Energy relative to the elements (eV/atom): 0.017
data_PmNdEr
_chemical_formula_sum 'Pm4 Nd4 Er4'
_symmetry_space_group_name_H-M 'C 1 2/m 1'
_symmetry_Int_Tables_number 12
_cell_length_a 11.371
_cell_length_b 5.121
_cell_length_c 7.214
_cell_angle_alpha 90.00
_cell_angle_beta 108.01
_cell_angle_gamma 90.00
loop_
_symmetry_equiv_pos_as_xyz
'x,y,z'
'-x,-y,-z'
'-x,y,-z'
'x,-y,z'
'x+1/2,y+1/2,z'
'-x+1/2,-y+1/2,-z'
'-x+1/2,y+1/2,-z'
'x+1/2,-y+1/2,z'
loop_
_atom_site_label
_atom_site_type_symbol
_atom_site_fract_x
_atom_site_fract_y
_atom_site_fract_z
Pm1 Pm 0.166 0.000 0.333
Nd1 Nd 0.000 0.500 0.000
Nd2 Nd 0.000 0.500 0.500
Er1 Er 0.168 0.000 0.836

# 4
# CsCa2MgS, optimized geometry, DFT GGA-PBE
# Crystal system: tetragonal
# Formation energy without anion corrections (eV per atom): 0.291
# Total moment (μB/f.u.): 0.00
data_CsCa2MgS
_chemical_formula_sum 'Cs1 Ca2 Mg1 S1'
_symmetry_space_group_name_H-M 'P 4/m m m'
_symmetry_Int_Tables_number 123
_symmetry_space_group_name_Hall '-P 4 2'
_cell_length_a 6.025
_cell_length_b 6.025
_cell_length_c 6.319
_cell_angle_alpha 90.00
_cell_angle_beta 90.00
_cell_angle_gamma 90.00
loop_
_atom_site_label
_atom_site_type_symbol
_atom_site_fract_x
_atom_site_fract_y
_atom_site_fract_z
Cs1 Cs 0.000 0.000 0.000
Ca1 Ca 0.000 0.500 0.500
Mg1 Mg 0.000 0.000 0.500
S1 S 0.500 0.500 0.000

# 5
# SnHgO2, optimized geometry, DFT GGA-PBE
# Crystal system: trigonal
# Formation energy without anion corrections (eV per atom): -1.103
# Total moment (μB/f.u.): 0.00
data_SnHgO2
_chemical_formula_sum 'Sn3 Hg3 O6'
_symmetry_space_group_name_H-M 'R -3 m'
_symmetry_Int_Tables_number 166
_symmetry_space_group_name_Hall '-R 3 2"'
_cell_length_a 3.2521
_cell_length_b 3.2521
_cell_length_c 26.9574
_cell_angle_alpha 90.00
_cell_angle_beta 90.00
_cell_angle_gamma 120.00
loop_
_atom_site_label
_atom_site_type_symbol
_atom_site_fract_x
_atom_site_fract_y
_atom_site_fract_z
Sn1 Sn 0.0000 0.0000 0.0000
Hg1 Hg 0.0000 0.0000 0.5000
O1 O 0.0000 0.0000 0.3711

# 6
# CaGa, optimized geometry, DFT GGA-PBE
# Crystal system: cubic
# Total moment (μB/f.u.): 0.00
# Energy relative to the elements (eV/atom): 0.525
data_CaGa
_chemical_formula_sum 'Ca6 Ga6'
_symmetry_space_group_name_H-M 'P m -3 n'
_symmetry_Int_Tables_number 223
_symmetry_space_group_name_Hall '-P 4n 2 3'
_cell_length_a 8.486
_cell_length_b 8.486
_cell_length_c 8.486
_cell_angle_alpha 90.00
_cell_angle_beta 90.00
_cell_angle_gamma 90.00
loop_
_atom_site_label
_atom_site_type_symbol
_atom_site_fract_x
_atom_site_fract_y
_atom_site_fract_z
Ca1 Ca 0.000 0.250 0.500
Ga1 Ga 0.000 0.500 0.250

# 7
# Fe2RhW, optimized geometry, DFT GGA-PBE
# Crystal system: trigonal
# Total moment (μB/f.u.): 5.08
# Energy relative to the elements (eV/atom): 0.140
data_Fe2RhW
_chemical_formula_sum 'Fe6 Rh3 W3'
_symmetry_space_group_name_H-M 'R 3 m'
_symmetry_Int_Tables_number 160
_symmetry_space_group_name_Hall 'R 3 -2"'
_cell_length_a 2.7606
_cell_length_b 2.7606
_cell_length_c 25.1352
_cell_angle_alpha 90.00
_cell_angle_beta 90.00
_cell_angle_gamma 120.00
loop_
_atom_site_label
_atom_site_type_symbol
_atom_site_fract_x
_atom_site_fract_y
_atom_site_fract_z
Fe1 Fe 0.0000 0.0000 0.0000
Fe2 Fe 0.0000 0.0000 0.2592
Rh1 Rh 0.0000 0.0000 0.7516
W1 W 0.0000 0.0000 0.5053

# 8
# NaAs12Au4, optimized geometry, DFT GGA-PBE
# Crystal system: cubic
# Total moment (μB/f.u.): 0.00
# Energy relative to the elements (eV/atom): -0.008
data_NaAs12Au4
_chemical_formula_sum 'Na2 As24 Au8'
_symmetry_space_group_name_H-M 'I m -3'
_symmetry_Int_Tables_number 204
_symmetry_space_group_name_Hall '-I 2 2 3'
_cell_length_a 9.112
_cell_length_b 9.112
_cell_length_c 9.112
_cell_angle_alpha 90.00
_cell_angle_beta 90.00
_cell_angle_gamma 90.00
loop_
_atom_site_label
_atom_site_type_symbol
_atom_site_fract_x
_atom_site_fract_y
_atom_site_fract_z
Na1 Na 0.000 0.000 0.000
As1 As 0.000 0.360 0.139
Au1 Au 0.250 0.250 0.250

# 9
# LiCdTeMoBr, optimized geometry, DFT GGA-PBE
# Crystal system: monoclinic
# Formation energy without anion corrections (eV per atom): -0.344
# Total moment (μB/f.u.): 0.01
data_LiCdTeMoBr
_chemical_formula_sum 'Li2 Cd2 Te2 Mo2 Br2'
_symmetry_space_group_name_H-M 'C 1 m 1'
_symmetry_Int_Tables_number 8
_cell_length_a 6.068
_cell_length_b 3.537
_cell_length_c 10.777
_cell_angle_alpha 90.00
_cell_angle_beta 98.78
_cell_angle_gamma 90.00
loop_
_symmetry_equiv_pos_as_xyz
'x,y,z'
'x,-y,z'
'x+1/2,y+1/2,z'
'x+1/2,-y+1/2,z'
loop_
_atom_site_label
_atom_site_type_symbol
_atom_site_fract_x
_atom_site_fract_y
_atom_site_fract_z
Li1 Li 0.000 0.000 0.000
Cd1 Cd 0.264 0.500 0.391
Te1 Te 0.194 0.000 0.756
Mo1 Mo 0.484 0.000 0.591
Br1 Br 0.197 0.500 0.122

# 10
# MnCo2Mo2, optimized geometry, DFT GGA-PBE
# Crystal system: tetragonal
# Total moment (μB/f.u.): 4.69
# Energy relative to the elements (eV/atom): 0.458
data_MnCo2Mo2
_chemical_formula_sum 'Mn2 Co4 Mo4'
_symmetry_space_group_name_H-M 'I 4/m m m'
_symmetry_Int_Tables_number 139
_symmetry_space_group_name_Hall '-I 4 2'
_cell_length_a 3.870
_cell_length_b 3.870
_cell_length_c 10.083
_cell_angle_alpha 90.00
_cell_angle_beta 90.00
_cell_angle_gamma 90.00
loop_
_atom_site_label
_atom_site_type_symbol
_atom_site_fract_x
_atom_site_fract_y
_atom_site_fract_z
Mn1 Mn 0.000 0.000 0.000
Co1 Co 0.000 0.000 0.396
Mo1 Mo 0.000 0.500 0.250

# 11
# SrMgTc2, optimized geometry, DFT GGA-PBE
# Crystal system: trigonal
# Total moment (μB/f.u.): 0.00
# Energy relative to the elements (eV/atom): 0.892
data_SrMgTc2
_chemical_formula_sum 'Sr3 Mg3 Tc6'
_symmetry_space_group_name_H-M 'R -3 m'
_symmetry_Int_Tables_number 166
_symmetry_space_group_name_Hall '-R 3 2"'
_cell_length_a 2.9199
_cell_length_b 2.9199
_cell_length_c 30.3980
_cell_angle_alpha 90.00
_cell_angle_beta 90.00
_cell_angle_gamma 120.00
loop_
_atom_site_label
_atom_site_type_symbol
_atom_site_fract_x
_atom_site_fract_y
_atom_site_fract_z
Sr1 Sr 0.0000 0.0000 0.0000
Mg1 Mg 0.0000 0.0000 0.5000
Tc1 Tc 0.0000 0.0000 0.2424

# 12
# NaSn2Pb7, optimized geometry, DFT GGA-PBE
# Crystal system: orthorhombic
# Total moment (μB/f.u.): 0.00
# Energy relative to the elements (eV/atom): 0.156
data_NaSn2Pb7
_chemical_formula_sum 'Na2 Sn4 Pb14'
_symmetry_space_group_name_H-M 'C m m m'
_symmetry_Int_Tables_number 65
_symmetry_space_group_name_Hall '-C 2 2'
_cell_length_a 9.357
_cell_length_b 17.007
_cell_length_c 4.483
_cell_angle_alpha 90.00
_cell_angle_beta 90.00
_cell_angle_gamma 90.00
loop_
_atom_site_label
_atom_site_type_symbol
_atom_site_fract_x
_atom_site_fract_y
_atom_site_fract_z
Na1 Na 0.000 0.000 0.000
Sn1 Sn 0.000 0.311 0.500
Pb1 Pb 0.000 0.192 0.000
Pb2 Pb 0.000 0.500 0.500
Pb3 Pb 0.204 0.106 0.500

What did the ninth record say?
# LiCdTeMoBr, optimized geometry, DFT GGA-PBE
# Crystal system: monoclinic
# Formation energy without anion corrections (eV per atom): -0.344
# Total moment (μB/f.u.): 0.01
data_LiCdTeMoBr
_chemical_formula_sum 'Li2 Cd2 Te2 Mo2 Br2'
_symmetry_space_group_name_H-M 'C 1 m 1'
_symmetry_Int_Tables_number 8
_cell_length_a 6.068
_cell_length_b 3.537
_cell_length_c 10.777
_cell_angle_alpha 90.00
_cell_angle_beta 98.78
_cell_angle_gamma 90.00
loop_
_symmetry_equiv_pos_as_xyz
'x,y,z'
'x,-y,z'
'x+1/2,y+1/2,z'
'x+1/2,-y+1/2,z'
loop_
_atom_site_label
_atom_site_type_symbol
_atom_site_fract_x
_atom_site_fract_y
_atom_site_fract_z
Li1 Li 0.000 0.000 0.000
Cd1 Cd 0.264 0.500 0.391
Te1 Te 0.194 0.000 0.756
Mo1 Mo 0.484 0.000 0.591
Br1 Br 0.197 0.500 0.122

Which of these has the highest total moment?
Fe2RhW